[1]
Crystalline TbPm2SmH at its relaxed geometry, computed with PBE.

a = 5.077 Å, b = 5.105 Å, c = 5.105 Å
α = 90.00°, β = 90.00°, γ = 90.00°
Atoms (fractional coordinates):
1 Tb 0.500 0.000 0.000
2 Pm 0.000 0.000 0.500
3 Pm 0.000 0.500 0.000
4 Sm 0.500 0.500 0.500
5 H 0.000 0.000 0.000

## Properties
energy = -0.339 Ry per atom

=====

[2]
Crystalline KAg3F at its relaxed geometry, computed with PBE.

a = 5.855 Å, b = 5.855 Å, c = 5.855 Å
α = 90.00°, β = 90.00°, γ = 90.00°
Atoms (fractional coordinates):
1 K 0.000 0.000 0.000
2 Ag 0.000 0.500 0.000
3 Ag 0.000 0.000 0.500
4 Ag 0.500 0.000 0.000
5 F 0.500 0.500 0.500

## Properties
energy relative to the elements, uncorrected = 4.25 eV per formula unit
distance to the lowest polymorph of the same formula = 90.8 kJ/mol of atoms

=====

[3]
Crystalline ZrPt3N at its relaxed geometry, computed with PBE.

a = 4.273 Å, b = 4.273 Å, c = 4.273 Å
α = 90.00°, β = 90.00°, γ = 90.00°
Atoms (fractional coordinates):
1 Zr 0.500 0.500 0.500
2 Pt 0.000 0.500 0.000
3 Pt 0.000 0.000 0.500
4 Pt 0.500 0.000 0.000
5 N 0.000 0.000 0.000

## Properties
energy relative to the elements, uncorrected = 0.33 eV per formula unit
distance to the lowest polymorph of the same formula = 0.0 kJ/mol of atoms

=====

[4]
Crystalline CeIr5 at its relaxed geometry, computed with PBE.

a = 5.304 Å, b = 5.304 Å, c = 4.362 Å
α = 90.00°, β = 90.00°, γ = 120.00°
Atoms (fractional coordinates):
1 Ce 0.000 0.000 0.000
2 Ir 0.333 0.667 0.000
3 Ir 0.667 0.333 0.000
4 Ir 0.500 0.000 0.500
5 Ir 0.500 0.500 0.500
6 Ir 0.000 0.500 0.500

## Properties
energy = -0.641 Ry per atom

=====

[5]
Crystalline ZrNi2Ir at its relaxed geometry, computed with PBE.

a = 4.080 Å, b = 2.863 Å, c = 5.062 Å
α = 76.20°, β = 90.00°, γ = 90.00°
Atoms (fractional coordinates):
1 Ir 0.500 0.763 0.800
2 Ni 0.000 0.176 0.986
3 Ni 0.500 0.076 0.246
4 Zr 0.000 0.484 0.468

## Properties
energy = -0.553 Ry per atom

=====

[6]
Crystalline LiTe2AuCl at its relaxed geometry, computed with PBE.

a = 5.627 Å, b = 4.276 Å, c = 5.627 Å
α = 90.00°, β = 90.00°, γ = 90.00°
Atoms (fractional coordinates):
1 Te 0.000 0.000 0.500
2 Te 0.500 0.000 0.000
3 Au 0.500 0.500 0.500
4 Li 0.000 0.500 0.000
5 Cl 0.000 0.000 0.000

## Properties
energy relative to the elements, uncorrected = 0.90 eV per formula unit

=====

[7]
Crystalline RbNa12Hg7 at its relaxed geometry, computed with PBE.

a = 9.074 Å, b = 9.513 Å, c = 9.513 Å
α = 69.61°, β = 71.46°, γ = 108.54°
Atoms (fractional coordinates):
1 Rb 0.000 0.000 0.000
2 Na 0.920 0.530 0.197
3 Na 0.883 0.803 0.726
4 Na 0.601 0.354 0.043
5 Na 0.356 0.957 0.397
6 Na 0.610 0.726 0.470
7 Na 0.754 0.397 0.646
8 Na 0.246 0.603 0.354
9 Na 0.390 0.274 0.530
10 Na 0.644 0.043 0.603
11 Na 0.399 0.646 0.957
12 Na 0.117 0.197 0.274
13 Na 0.080 0.470 0.803
14 Hg 0.775 0.167 0.213
15 Hg 0.012 0.787 0.379
16 Hg 0.392 0.379 0.833
17 Hg 0.500 0.000 0.000
18 Hg 0.608 0.621 0.167
19 Hg 0.988 0.213 0.621
20 Hg 0.225 0.833 0.787

## Properties
energy = -0.080 Ry per atom

=====

[8]
Crystalline Ta2AlHg at its relaxed geometry, computed with PBE.

a = 5.240 Å, b = 5.240 Å, c = 2.886 Å
α = 89.66°, β = 89.66°, γ = 114.62°
Atoms (fractional coordinates):
1 Al 0.500 0.000 0.500
2 Hg 0.000 0.500 0.500
3 Ta 0.000 0.000 0.000
4 Ta 0.500 0.500 0.000

## Properties
distance to the lowest polymorph of the same formula = 4.5 kJ/mol of atoms

=====

[9]
Crystalline Tb3SmTh3 at its relaxed geometry, computed with PBE.

a = 5.879 Å, b = 9.495 Å, c = 9.495 Å
α = 120.00°, β = 90.00°, γ = 90.00°
Atoms (fractional coordinates):
1 Tb 0.250 0.531 0.623
2 Tb 0.250 0.091 0.469
3 Tb 0.250 0.377 0.909
4 Tb 0.750 0.469 0.377
5 Tb 0.750 0.909 0.531
6 Tb 0.750 0.623 0.091
7 Sm 0.750 0.333 0.667
8 Sm 0.250 0.667 0.333
9 Th 0.750 0.767 0.813
10 Th 0.750 0.046 0.233
11 Th 0.750 0.186 0.954
12 Th 0.250 0.233 0.187
13 Th 0.250 0.954 0.767
14 Th 0.250 0.814 0.046

## Properties
distance to the lowest polymorph of the same formula = 0.0 kJ/mol of atoms

=====

[10]
Crystalline KFe4As12 at its relaxed geometry, computed with PBE.

a = 7.270 Å, b = 7.270 Å, c = 7.270 Å
α = 109.47°, β = 109.47°, γ = 109.47°
Atoms (fractional coordinates):
1 K 0.000 0.000 0.000
2 Fe 0.000 0.500 0.000
3 Fe 0.500 0.000 0.000
4 Fe 0.500 0.500 0.500
5 Fe 0.000 0.000 0.500
6 As 0.845 0.346 0.190
7 As 0.346 0.501 0.155
8 As 0.810 0.155 0.654
9 As 0.346 0.190 0.845
10 As 0.190 0.845 0.346
11 As 0.654 0.499 0.845
12 As 0.501 0.155 0.346
13 As 0.499 0.845 0.654
14 As 0.654 0.810 0.155
15 As 0.845 0.654 0.499
16 As 0.155 0.346 0.501
17 As 0.155 0.654 0.810

## Properties
energy = -0.408 Ry per atom

=====

[11]
Crystalline HfTi4N6 at its relaxed geometry, computed with PBE.

a = 2.976 Å, b = 5.151 Å, c = 15.224 Å
α = 90.00°, β = 90.00°, γ = 106.79°
Atoms (fractional coordinates):
1 Hf 0.650 0.300 0.250
2 Hf 0.350 0.700 0.750
3 Ti 0.865 0.730 0.545
4 Ti 0.398 0.797 0.133
5 Ti 0.135 0.270 0.455
6 Ti 0.602 0.203 0.867
7 Ti 0.865 0.730 0.955
8 Ti 0.135 0.270 0.045
9 Ti 0.602 0.203 0.633
10 Ti 0.398 0.797 0.367
11 N 0.500 0.000 0.000
12 N 0.500 0.000 0.500
13 N 0.041 0.083 0.336
14 N 0.959 0.917 0.664
15 N 0.959 0.917 0.836
16 N 0.041 0.083 0.164
17 N 0.769 0.538 0.414
18 N 0.231 0.462 0.586
19 N 0.231 0.462 0.914
20 N 0.769 0.538 0.086
21 N 0.310 0.619 0.250
22 N 0.690 0.381 0.750

## Properties
energy relative to the elements, uncorrected = -17.58 eV per formula unit

=====

[12]
Crystalline AcAuO at its relaxed geometry, computed with PBE.

a = 4.971 Å, b = 4.165 Å, c = 4.165 Å
α = 120.00°, β = 90.00°, γ = 90.00°
Atoms (fractional coordinates):
1 Ac 0.166 0.667 0.333
2 Au 0.667 0.333 0.667
3 O 0.167 0.000 0.000

## Properties
energy relative to the elements, uncorrected = -5.74 eV per formula unit
distance to the lowest polymorph of the same formula = 7.8 kJ/mol of atoms